## InBIr3 (GGA-PBE)

Data for InBIr3 after structural relaxation.

It has space group R-3m (No. 166, hexagonal axes), with a = 5.6696 Å, b = 5.6696 Å, c = 15.9395 Å, α = 90.00°, β = 90.00° and γ = 120.00°. The distinct sites, in fractional coordinates, are In at (0.0000, 0.0000, 0.1021), B at (0.0000, 0.0000, 0.3292) and Ir at (0.0096, 0.5048, 0.0887).

The volume is 14.790 A^3/atom. The value obtained for the raw total energy is -7.34 eV/atom. Its crystal system is trigonal. For the energy relative to the elements, the calculation gives -0.144 eV per atom. Its calculated density is 15.77 Mg/m³.